Record 1
Below is WAu2 after structural relaxation, with properties calculated at the GGA-PBEsol level.

Values from the calculation:
Formation energy = 468 meV/atom

abc: 4.585 4.585 2.688
angles: 90.00 90.00 120.00
Atoms (fractional coordinates):
W1 0.000 0.000 0.000
Au1 0.333 0.667 0.498
Au2 0.667 0.333 0.502


Record 2
Below is TcSb3F after structural relaxation, with properties calculated at the GGA-PBEsol level.

Values from the calculation:
Formation energy (no corrections) = 440 meV/atom

abc: 4.710 4.710 4.710
angles: 90.00 90.00 90.00
Atoms (fractional coordinates):
Tc1 0.000 0.000 0.000
Sb1 0.000 0.500 0.500
Sb2 0.500 0.000 0.500
Sb3 0.500 0.500 0.000
F1 0.500 0.500 0.500


Record 3
Below is BeCuP2S after structural relaxation, with properties calculated at the GGA-PBEsol level.

Values from the calculation:
Formation energy (no corrections) = 734 meV/atom

abc: 4.119 4.119 4.361
angles: 90.00 90.00 90.00
Atoms (fractional coordinates):
Be1 0.000 0.000 0.000
Cu1 0.500 0.500 0.500
P1 0.000 0.500 0.000
P2 0.500 0.000 0.000
S1 0.000 0.000 0.500


Record 4
Below is CdFeIr2 after structural relaxation, with properties calculated at the GGA-PBEsol level.

Values from the calculation:
Formation energy = 335 meV/atom

abc: 2.861 4.521 9.090
angles: 90.00 90.00 90.00
Atoms (fractional coordinates):
Cd1 0.000 0.000 0.000
Cd2 0.500 0.500 0.500
Fe1 0.000 0.500 0.755
Fe2 0.500 0.000 0.255
Ir1 0.000 0.000 0.481
Ir2 0.000 0.500 0.231
Ir3 0.500 0.000 0.731
Ir4 0.500 0.500 0.981


Record 5
Below is Fe2P after structural relaxation, with properties calculated at the GGA-PBEsol level.

Values from the calculation:
Formation energy = 313 meV/atom

abc: 4.602 4.602 4.602
angles: 60.00 60.00 60.00
Atoms (fractional coordinates):
Fe1 0.000 0.000 0.000
Fe2 0.000 0.000 0.500
Fe3 0.000 0.500 0.000
Fe4 0.500 0.000 0.000
P1 0.375 0.375 0.375
P2 0.625 0.625 0.625


Record 6
Below is CaAlF2 after structural relaxation, with properties calculated at the GGA-PBEsol level.

Values from the calculation:
Formation energy (no corrections) = -1896 meV/atom

abc: 4.101 4.101 15.143
angles: 90.00 90.00 120.00
Atoms (fractional coordinates):
Ca1 0.000 0.000 0.000
Ca2 0.333 0.667 0.667
Ca3 0.667 0.333 0.333
Al1 0.000 0.000 0.500
Al2 0.333 0.667 0.167
Al3 0.667 0.333 0.833
F1 0.000 0.000 0.142
F2 0.000 0.000 0.858
F3 0.333 0.667 0.525
F4 0.333 0.667 0.809
F5 0.667 0.333 0.191
F6 0.667 0.333 0.475


Record 7
Below is TaAl2BH after structural relaxation, with properties calculated at the GGA-PBEsol level.

abc: 3.941 3.941 4.419
angles: 90.00 90.00 90.00
Atoms (fractional coordinates):
Ta1 0.000 0.000 0.000
Al1 0.000 0.500 0.500
Al2 0.500 0.000 0.500
B1 0.000 0.000 0.500
H1 0.500 0.500 0.000


Record 8
Below is TlTcAg2 after structural relaxation, with properties calculated at the GGA-PBEsol level.

Values from the calculation:
Formation energy = 564 meV/atom

abc: 2.803 4.332 5.722
angles: 90.00 90.00 90.00
Atoms (fractional coordinates):
Tl1 0.000 0.000 0.000
Tc1 0.000 0.000 0.500
Ag1 0.500 0.500 0.268
Ag2 0.500 0.500 0.732


Record 9
Below is ZnNi2 after structural relaxation, with properties calculated at the GGA-PBEsol level.

Values from the calculation:
Formation energy = -92 meV/atom

abc: 3.955 3.955 2.460
angles: 90.00 90.00 120.00
Atoms (fractional coordinates):
Zn1 0.000 0.000 0.000
Ni1 0.333 0.667 0.680
Ni2 0.667 0.333 0.320


Record 10
Below is NbTlN3 after structural relaxation, with properties calculated at the GGA-PBEsol level.

Values from the calculation:
Formation energy (no corrections) = 2145 meV/atom

abc: 4.071 4.071 4.071
angles: 90.00 90.00 90.00
Atoms (fractional coordinates):
Nb1 0.000 0.000 0.000
Tl1 0.500 0.500 0.500
N1 0.000 0.500 0.500
N2 0.500 0.000 0.500
N3 0.500 0.500 0.000


Record 11
Below is Y2PRh after structural relaxation, with properties calculated at the GGA-PBEsol level.

Values from the calculation:
Formation energy = -983 meV/atom

abc: 3.413 3.413 6.734
angles: 90.00 90.00 90.00
Atoms (fractional coordinates):
Y1 0.000 0.000 0.244
Y2 0.000 0.000 0.756
P1 0.500 0.500 0.000
Rh1 0.500 0.500 0.500


Record 12
Below is PrAl8Co2 after structural relaxation, with properties calculated at the GGA-PBEsol level.

Values from the calculation:
Formation energy = -471 meV/atom

abc: 12.380 14.285 3.975
angles: 90.00 90.00 90.00
Atoms (fractional coordinates):
Pr1 0.159 0.181 0.000
Pr2 0.341 0.681 0.000
Pr3 0.659 0.319 0.000
Pr4 0.841 0.819 0.000
Al1 0.000 0.000 0.000
Al2 0.000 0.500 0.500
Al3 0.026 0.868 0.500
Al4 0.047 0.321 0.500
Al5 0.096 0.747 0.000
Al6 0.159 0.621 0.500
Al7 0.160 0.456 0.000
Al8 0.169 0.008 0.500
Al9 0.236 0.828 0.500
Al10 0.264 0.328 0.500
Al11 0.331 0.508 0.500
Al12 0.340 0.956 0.000
Al13 0.341 0.121 0.500
Al14 0.404 0.247 0.000
Al15 0.453 0.821 0.500
Al16 0.474 0.368 0.500
Al17 0.500 0.000 0.500
Al18 0.500 0.500 0.000
Al19 0.526 0.632 0.500
Al20 0.547 0.179 0.500
Al21 0.596 0.753 0.000
Al22 0.659 0.879 0.500
Al23 0.660 0.044 0.000
Al24 0.669 0.492 0.500
Al25 0.736 0.672 0.500
Al26 0.764 0.172 0.500
Al27 0.831 0.992 0.500
Al28 0.840 0.544 0.000
Al29 0.841 0.379 0.500
Al30 0.904 0.253 0.000
Al31 0.953 0.679 0.500
Al32 0.974 0.132 0.500
Co1 0.035 0.594 0.000
Co2 0.152 0.904 0.000
Co3 0.348 0.404 0.000
Co4 0.465 0.094 0.000
Co5 0.535 0.906 0.000
Co6 0.652 0.596 0.000
Co7 0.848 0.096 0.000
Co8 0.965 0.406 0.000


Record 13
Below is HfBNO2 after structural relaxation, with properties calculated at the GGA-PBEsol level.

Values from the calculation:
Formation energy (no corrections) = -1507 meV/atom

abc: 3.278 3.278 3.577
angles: 90.00 90.00 90.00
Atoms (fractional coordinates):
Hf1 0.000 0.000 0.000
B1 0.500 0.500 0.500
N1 0.500 0.500 0.000
O1 0.000 0.500 0.500
O2 0.500 0.000 0.500


Record 14
Below is CsCd2H after structural relaxation, with properties calculated at the GGA-PBEsol level.

abc: 8.010 8.010 8.010
angles: 90.00 90.00 90.00
Atoms (fractional coordinates):
Cs1 0.000 0.000 0.000
Cs2 0.000 0.500 0.500
Cs3 0.500 0.000 0.500
Cs4 0.500 0.500 0.000
Cd1 0.250 0.250 0.250
Cd2 0.250 0.250 0.750
Cd3 0.250 0.750 0.250
Cd4 0.250 0.750 0.750
Cd5 0.750 0.250 0.250
Cd6 0.750 0.250 0.750
Cd7 0.750 0.750 0.250
Cd8 0.750 0.750 0.750
H1 0.000 0.000 0.500
H2 0.000 0.500 0.000
H3 0.500 0.000 0.000
H4 0.500 0.500 0.500


no.,calculated volume (Å³/atom),energy (eV per atom)
1,16.32,-6.75
2,20.90,-4.93
3,14.80,-4.13
4,14.70,-7.12
5,11.49,-7.59
6,18.38,-4.42
7,13.73,-5.57
8,17.37,-4.57
9,11.10,-4.72
10,13.50,-5.66
11,19.62,-7.88
12,15.98,-5.32
13,7.68,-8.82
14,32.12,-1.11